Material: InGeSeBr2
Method: DFT, PBE
State: optimized geometry

Values from the calculation:
Relative energy among the computed polymorphs: 0.00 kcal/mol of atoms

Cell lengths 5.4468, 5.4468, 5.1007 Å; angles 90.00, 90.00, 90.00 degrees
Positions (direct):
In  0.0000  0.0000  0.0000
Ge  0.5000  0.5000  0.5000
Se  0.5000  0.5000  0.0000
Br  0.0000  0.5000  0.5000
Br  0.5000  0.0000  0.5000

---

Material: In2SnGeBr6
Method: DFT, PBE
State: optimized geometry

Cell lengths 8.1074, 8.1074, 5.9428 Å; angles 90.00, 90.00, 90.00 degrees
Positions (direct):
In  0.0000  0.5000  0.0000
In  0.5000  0.0000  0.0000
Sn  0.0000  0.0000  0.6548
Ge  0.5000  0.5000  0.6488
Br  0.0000  0.0000  0.1910
Br  0.2563  0.2563  0.7154
Br  0.2563  0.7437  0.7154
Br  0.5000  0.5000  0.2323
Br  0.7437  0.2563  0.7154
Br  0.7437  0.7437  0.7154

---

Material: SrInGe2Br
Method: DFT, PBE
State: optimized geometry

Cell lengths 5.8205, 5.8205, 6.8440 Å; angles 90.00, 90.00, 90.00 degrees
Positions (direct):
Sr  0.0000  0.0000  0.0000
In  0.0000  0.0000  0.5000
Ge  0.0000  0.5000  0.0000
Ge  0.5000  0.0000  0.0000
Br  0.5000  0.5000  0.5000

---

Material: In2GeTeBr
Method: DFT, PBE
State: optimized geometry

Cell lengths 5.8044, 5.8044, 5.2296 Å; angles 90.00, 90.00, 90.00 degrees
Positions (direct):
In  0.0000  0.5000  0.0000
In  0.5000  0.0000  0.0000
Ge  0.0000  0.0000  0.0000
Te  0.0000  0.0000  0.5000
Br  0.5000  0.5000  0.5000

---

Material: TlInGe2Br8
Method: DFT, PBE
State: optimized geometry

Cell lengths 6.5231, 7.9341, 9.0986 Å; angles 98.48, 96.08, 95.56 degrees
Positions (direct):
Tl  0.0000  0.0000  0.0000
In  0.0000  0.0000  0.5000
Ge  0.4645  0.6257  0.2363
Ge  0.5355  0.3743  0.7637
Br  0.1743  0.6998  0.3999
Br  0.2068  0.1870  0.3426
Br  0.2759  0.6527  0.9918
Br  0.3257  0.0742  0.7425
Br  0.6743  0.9258  0.2575
Br  0.7241  0.3473  0.0082
Br  0.7932  0.8130  0.6574
Br  0.8257  0.3002  0.6001

---

Material: Tl2InGeBr6
Method: DFT, PBE
State: optimized geometry

Cell lengths 8.0188, 8.0188, 8.0188 Å; angles 58.46, 58.46, 58.46 degrees
Positions (direct):
Tl  0.0000  0.0000  0.0000
Tl  0.4981  0.4981  0.4981
In  0.7161  0.7161  0.7161
Ge  0.2165  0.2165  0.2165
Br  0.0373  0.4507  0.8929
Br  0.3876  0.9604  0.5249
Br  0.4507  0.8929  0.0373
Br  0.5249  0.3876  0.9604
Br  0.8929  0.0373  0.4507
Br  0.9604  0.5249  0.3876

---

Material: VInGeBr2
Method: DFT, PBE
State: optimized geometry

Cell lengths 5.3136, 5.3136, 5.5531 Å; angles 90.00, 90.00, 90.00 degrees
Positions (direct):
V  0.0000  0.0000  0.0000
In  0.5000  0.5000  0.0000
Ge  0.5000  0.5000  0.5000
Br  0.0000  0.5000  0.5000
Br  0.5000  0.0000  0.5000

---

Material: In2GeWBr
Method: DFT, PBE
State: optimized geometry

Cell lengths 5.4895, 5.4895, 4.7372 Å; angles 90.00, 90.00, 90.00 degrees
Positions (direct):
In  0.0000  0.5000  0.0000
In  0.5000  0.0000  0.0000
Ge  0.0000  0.0000  0.5000
W  0.5000  0.5000  0.0000
Br  0.5000  0.5000  0.5000

---

Material: ZnInGe2Br
Method: DFT, PBE
State: optimized geometry

Cell lengths 5.2664, 5.2664, 5.1859 Å; angles 90.00, 90.00, 90.00 degrees
Positions (direct):
Zn  0.0000  0.0000  0.0000
In  0.5000  0.5000  0.0000
Ge  0.0000  0.5000  0.5000
Ge  0.5000  0.0000  0.5000
Br  0.0000  0.0000  0.5000

---

Material: GeIr2Br
Method: DFT, PBE
State: optimized geometry

Values from the calculation:
Relative energy among the computed polymorphs: 4.44 kcal/mol of atoms

Cell lengths 4.5060, 4.5060, 4.5060 Å; angles 60.00, 60.00, 60.00 degrees
Positions (direct):
Ge  0.0000  0.0000  0.0000
Ir  0.2500  0.2500  0.2500
Ir  0.7500  0.7500  0.7500
Br  0.5000  0.5000  0.5000

---

Material: GeIrBr3
Method: DFT, PBE
State: optimized geometry

Values from the calculation:
Relative energy among the computed polymorphs: 11.81 kcal/mol of atoms

Cell lengths 5.3594, 5.3594, 5.3594 Å; angles 90.00, 90.00, 90.00 degrees
Positions (direct):
Ge  0.0000  0.0000  0.0000
Ir  0.5000  0.5000  0.5000
Br  0.0000  0.0000  0.5000
Br  0.0000  0.5000  0.0000
Br  0.5000  0.0000  0.0000

---

Material: GeIrBr
Method: DFT, PBE
State: optimized geometry

Cell lengths 5.7666, 3.8145, 6.8663 Å; angles 90.00, 111.46, 90.00 degrees
Positions (direct):
Ge  0.0338  0.2500  0.3637
Ge  0.9662  0.7500  0.6363
Ir  0.2388  0.2500  0.7402
Ir  0.7612  0.7500  0.2598
Br  0.3898  0.2500  0.1690
Br  0.6102  0.7500  0.8310

---

These records have E_form (uncorrected) values of -1.33 -6.37 4.06 0.16 -7.90 -7.08 4.44 4.43 3.74 3.11 4.69 -0.12 eV per formula unit, in the order they appear.
These records have total magnetization values of 0.00 0.00 2.95 0.00 0.00 0.00 0.09 0.00 0.00 0.00 3.76 0.00 μB/f.u., in the order they appear.